Record 1
KZn2O2: relaxed, PBE.

The space group is I4/mmm (No. 139) and the conventional cell measures 4.011, 4.011 and 9.217 Å, with angles of 90.00, 90.00 and 90.00 degrees. The asymmetric unit holds K at (0.000, 0.000, 0.000), Zn at (0.000, 0.000, 0.325) and O at (0.000, 0.500, 0.250).

The total magnetization comes out at 0.000 Bohr magnetons per cell. The value obtained for the relative energy among the computed polymorphs is 0.63 eV/f.u. The total energy is -3.66 eV/atom. The formation energy without anion corrections is -0.951 eV per atom. As for the crystal system: tetragonal. The calculation puts the calculated density at 4.52 g/cm3.

=====

Record 2
KZn2O: relaxed, PBE.

The space group is Fm-3m (No. 225) and the conventional cell measures 6.984, 6.984 and 6.984 Å, with angles of 90.00, 90.00 and 90.00 degrees. The asymmetric unit holds K at (0.000, 0.000, 0.000), Zn at (0.250, 0.250, 0.250) and O at (0.000, 0.000, 0.500).

The total magnetization comes out at 3.758 Bohr magnetons per cell. The value obtained for the relative energy among the computed polymorphs is 2.59 eV/f.u. The total energy is -1.80 eV/atom. The formation energy without anion corrections is 0.352 eV per atom. As for the crystal system: cubic. The calculation puts the calculated density at 3.63 g/cm3.

=====

Record 3
K2ZnO: relaxed, PBE.

The space group is I-42d (No. 122) and the conventional cell measures 8.395, 8.395 and 6.797 Å, with angles of 90.00, 90.00 and 90.00 degrees. The asymmetric unit holds K at (0.140, 0.250, 0.125), Zn at (0.000, 0.000, 0.500) and O at (0.000, 0.000, 0.000).

The total magnetization comes out at 0.000 Bohr magnetons per cell. The value obtained for the relative energy among the computed polymorphs is 0.00 eV/f.u. The total energy is -2.53 eV/atom. The formation energy without anion corrections is -0.422 eV per atom. As for the crystal system: tetragonal. The calculation puts the calculated density at 2.21 g/cm3.

=====

Record 4
KZn2O2: relaxed, PBE.

The space group is C2/m (No. 12) and the conventional cell measures 8.403, 9.296 and 6.126 Å, with angles of 90.00, 132.07 and 90.00 degrees. The asymmetric unit holds K at (0.000, 0.182, 0.000), Zn at (0.000, 0.354, 0.500), Zn at (0.247, 0.000, 0.685), O at (0.000, 0.153, 0.500) and O at (0.211, 0.500, 0.608).

The total magnetization comes out at 0.000 Bohr magnetons per cell. The value obtained for the relative energy among the computed polymorphs is 0.00 eV/f.u. The total energy is -3.79 eV/atom. The formation energy without anion corrections is -1.078 eV per atom. As for the crystal system: monoclinic. The calculation puts the calculated density at 3.78 g/cm3.